1.
Cs3BiSe (GGA-PBE, optimized geometry); electronic total energy = -2.424 eV per atom; offset from the most stable computed form = 273 meV per atom; ΔE_f (raw) = -42.3 kJ/mol of atoms; symmetry = No. 221; size of the total moment = 2.0 μB/cell
1.0
6.923 0.000 0.000
0.000 6.923 0.000
0.000 0.000 6.923
Se Cs Bi
1 3 1
Cartesian
0.000 0.000 0.000
0.000 0.000 3.462
0.000 3.462 0.000
3.462 0.000 0.000
3.462 3.462 3.462

2.
LiMnRuW (GGA-PBE, optimized geometry); electronic total energy = -8.206 eV per atom; symmetry = No. 216; ΔH_f (0 K) = 0.122 eV/atom; size of the total moment = 2.0 μB/cell
1.0
4.239 0.000 0.000
2.119 3.671 0.000
2.119 1.224 3.461
Ru Mn Li W
1 1 1 1
Cartesian
6.358 3.671 2.596
2.119 1.224 0.865
0.000 0.000 0.000
4.239 2.447 1.730

3.
Pa2Ni2Hg (GGA-PBE, optimized geometry); electronic total energy = -6.471 eV per atom; symmetry = No. 127; ΔH_f (0 K) = -0.300 eV/atom; size of the total moment = 0.0 μB/cell
1.0
-2.654 1.865 1.308
0.335 -3.984 6.359
4.881 4.950 2.845
Ni Pa Hg
4 4 2
Cartesian
1.872 1.359 1.861
0.819 -1.871 4.329
3.343 -0.393 7.342
4.397 2.838 4.874
0.555 -0.742 6.859
2.942 2.360 7.281
-0.381 0.471 3.232
2.007 3.573 3.653
0.000 0.000 0.000
2.608 0.483 4.602

4.
Pa2TcW (GGA-PBE, optimized geometry); electronic total energy = -10.438 eV per atom; offset from the most stable computed form = 4 meV per atom; symmetry = No. 123; ΔH_f (0 K) = 0.140 eV/atom; size of the total moment = 0.0 μB/cell
1.0
3.470 0.000 0.000
0.000 4.901 0.000
0.000 0.000 4.901
Tc Pa W
1 2 1
Cartesian
1.735 2.450 2.450
0.000 0.000 2.450
0.000 2.450 0.000
1.735 0.000 0.000

5.
HgRhAu4 (GGA-PBE, optimized geometry); electronic total energy = -3.133 eV per atom; symmetry = No. 216; ΔH_f (0 K) = 0.328 eV/atom; size of the total moment = 0.5 μB/cell
1.0
0.000 3.866 3.866
3.866 0.000 3.866
3.866 3.866 0.000
Rh Au Hg
1 4 1
Cartesian
0.000 0.000 0.000
4.834 4.834 2.898
2.898 2.898 2.898
2.898 4.834 4.834
4.834 2.898 4.834
5.799 5.799 5.799

6.
Co2PtPb (GGA-PBE, optimized geometry); electronic total energy = -5.454 eV per atom; symmetry = No. 166; ΔH_f (0 K) = 0.536 eV/atom; size of the total moment = 3.5 μB/cell
1.0
-2.804 6.926 4.269
-4.708 6.928 1.975
-5.255 5.233 4.365
Co Pt Pb
2 1 1
Cartesian
-0.066 0.099 0.055
-6.317 9.445 5.250
-9.575 14.315 7.957
-3.192 4.772 2.652

7.
FeIrSe4 (GGA-PBE, optimized geometry); electronic total energy = -3.911 eV per atom; offset from the most stable computed form = 1591 meV per atom; ΔE_f (raw) = 125.3 kJ/mol of atoms; symmetry = No. 216; size of the total moment = 4.4 μB/cell
1.0
0.000 3.877 3.877
3.877 0.000 3.877
3.877 3.877 0.000
Se Fe Ir
4 1 1
Cartesian
4.851 4.851 2.903
2.903 2.903 2.903
4.851 2.903 4.851
2.903 4.851 4.851
5.815 5.815 5.815
0.000 0.000 0.000

8.
SmZrAs2 (GGA-PBE, optimized geometry); electronic total energy = -6.957 eV per atom; offset from the most stable computed form = 0 meV per atom; symmetry = No. 166; ΔH_f (0 K) = -1.315 eV/atom; size of the total moment = 0.0 μB/cell
1.0
-0.628 -1.903 3.473
2.866 -2.334 1.554
3.206 3.809 4.981
As Zr Sm
2 1 1
Cartesian
4.131 -0.219 7.571
1.313 -0.209 2.437
0.000 0.000 0.000
2.722 -0.214 5.004

9.
YCdP (GGA-PBE, optimized geometry); electronic total energy = -4.921 eV per atom; offset from the most stable computed form = 96 meV per atom; symmetry = No. 156; ΔH_f (0 K) = -0.658 eV/atom; size of the total moment = 0.0 μB/cell
1.0
2.024 -3.506 0.000
2.024 3.506 0.000
0.000 0.000 5.240
P Cd Y
1 1 1
Cartesian
2.024 -1.169 1.760
0.000 0.000 0.298
2.024 1.169 3.183

10.
Tb2PmNd2Y2 (GGA-PBE, optimized geometry); electronic total energy = -5.196 eV per atom; symmetry = No. 12; ΔH_f (0 K) = 0.015 eV/atom; size of the total moment = 0.0 μB/cell
1.0
-1.971 0.129 4.710
6.169 -0.953 -0.161
0.205 8.083 -0.136
Pm Y Tb Nd
1 2 2 2
Cartesian
0.000 0.000 0.000
1.262 0.851 3.274
3.142 6.408 1.139
1.570 3.218 0.569
2.834 4.042 3.844
4.500 1.552 1.840
-0.096 5.707 2.572

The highest size of the total moment belongs to which entry? FeIrSe4

Which of these has the lowest electronic total energy? Pa2TcW

Number 4 is which compound? Pa2TcW